{"formula": "Nd2SmGa2Ag2", "functional": "GGA-PBE", "state": "relaxed", "vol_a3_per_cell": 173.7, "n_ef_per_ev_fu": 5.63, "energy_ev_per_fu": -28.64, "sg": "R-3m (166)", "delta_e_f_ev_per_atom": -0.376, "lattice": [[4.670, 0.000, 0.000], [2.335, 4.045, 0.000], [2.335, 1.348, 9.198]], "species": ["Nd", "Nd", "Sm", "Ga", "Ga", "Ag", "Ag"], "fractional_positions": [[0.126, 0.126, 0.623], [0.874, 0.874, 0.377], [0.000, 0.000, 0.000], [0.738, 0.738, 0.785], [0.262, 0.262, 0.215], [0.604, 0.604, 0.188], [0.396, 0.396, 0.812]]}